(1)
# HfNb2Cl

HfNb2Cl after structural relaxation (PBE, Alexandria via LeMat-Bulk). Values from VASP.

Computed properties:
As for the density of states at the Fermi level: 27.7 states/eV per cell. The raw formation energy is 0.736 eV/atom. The offset from the most stable computed form comes out at 288 meV per atom. The crystal system is cubic. The space-group type is Fm-3m, No. 225.

Geometry as Quantum ESPRESSO input:
```
&SYSTEM
  ibrav = 0, nat = 16, ntyp = 3
/
ATOMIC_SPECIES
Hf 178.49 Hf.upf
Nb 92.91 Nb.upf
Cl 35.45 Cl.upf
CELL_PARAMETERS angstrom
6.700 0.000 0.000
0.000 6.700 0.000
0.000 0.000 6.700
ATOMIC_POSITIONS angstrom
Hf 0.000 0.000 0.000
Hf 0.000 3.350 3.350
Hf 3.350 0.000 3.350
Hf 3.350 3.350 0.000
Nb 1.675 1.675 1.675
Nb 1.675 1.675 5.025
Nb 1.675 5.025 1.675
Nb 1.675 5.025 5.025
Nb 5.025 1.675 1.675
Nb 5.025 1.675 5.025
Nb 5.025 5.025 1.675
Nb 5.025 5.025 5.025
Cl 0.000 0.000 3.350
Cl 0.000 3.350 0.000
Cl 3.350 0.000 0.000
Cl 3.350 3.350 3.350
```

(2)
# Sc4BeP

Sc4BeP after structural relaxation (PBE, Alexandria via LeMat-Bulk). Values from VASP.

Computed properties:
As for the density of states at the Fermi level: 8.5 states/eV per cell. The value obtained for the formation energy is 318 kJ/mol of formula units. The crystal system is cubic. The space-group type is F-43m, No. 216.

Geometry as Quantum ESPRESSO input:
```
&SYSTEM
  ibrav = 0, nat = 6, ntyp = 3
/
ATOMIC_SPECIES
Sc 44.96 Sc.upf
Be 9.01 Be.upf
P 30.97 P.upf
CELL_PARAMETERS angstrom
0.000 3.956 3.956
3.956 0.000 3.956
3.956 3.956 0.000
ATOMIC_POSITIONS angstrom
Sc 0.988 0.988 0.988
Sc 2.969 2.969 0.988
Sc 2.969 0.988 2.969
Sc 0.988 2.969 2.969
Be 5.935 5.935 5.935
P 3.956 3.956 3.956
```

(3)
# Cs4Tl3Br10

Cs4Tl3Br10 after structural relaxation (PBE, Alexandria via LeMat-Bulk). Values from VASP.

Computed properties:
As for the density of states at the Fermi level: 2.6 states/eV per cell. The raw formation energy is -1.184 eV/atom. The crystal system is tetragonal. The space-group type is I4/mmm, No. 139.

Geometry as Quantum ESPRESSO input:
```
&SYSTEM
  ibrav = 0, nat = 17, ntyp = 3
/
ATOMIC_SPECIES
Cs 132.91 Cs.upf
Tl 204.38 Tl.upf
Br 79.90 Br.upf
CELL_PARAMETERS angstrom
-2.922 2.922 20.879
2.922 -2.922 20.879
2.922 2.922 -20.879
ATOMIC_POSITIONS angstrom
Cs 0.000 0.000 2.853
Cs 0.000 0.000 8.356
Cs 0.000 0.000 33.402
Cs 0.000 0.000 38.904
Tl 0.000 0.000 14.913
Tl 0.000 0.000 20.879
Tl 0.000 0.000 26.844
Br 2.922 0.000 0.000
Br 2.922 0.000 5.819
Br 0.000 0.000 11.976
Br 2.922 0.000 15.060
Br 0.000 0.000 17.975
Br 0.000 2.922 0.000
Br 0.000 0.000 23.782
Br 0.000 2.922 5.819
Br 0.000 0.000 29.781
Br 0.000 2.922 15.060
```

(4)
# ErPuSc2

ErPuSc2 after structural relaxation (PBE, Alexandria via LeMat-Bulk). Values from VASP.

Computed properties:
As for the density of states at the Fermi level: 11.3 states/eV per cell. The offset from the most stable computed form comes out at 10 meV per atom. The value obtained for the formation energy is 39 kJ/mol of formula units. The crystal system is orthorhombic. The space-group type is Pmmm, No. 47.

Geometry as Quantum ESPRESSO input:
```
&SYSTEM
  ibrav = 0, nat = 4, ntyp = 3
/
ATOMIC_SPECIES
Er 167.26 Er.upf
Pu 244.00 Pu.upf
Sc 44.96 Sc.upf
CELL_PARAMETERS angstrom
3.316 0.000 0.000
0.000 4.727 0.000
0.000 0.000 6.690
ATOMIC_POSITIONS angstrom
Er 0.000 0.000 0.000
Pu 0.000 0.000 3.345
Sc 1.658 2.364 1.729
Sc 1.658 2.364 4.960
```

(5)
# Ba4Mg3Au

Ba4Mg3Au after structural relaxation (PBE, Alexandria via LeMat-Bulk). Values from VASP.

Computed properties:
As for the density of states at the Fermi level: 8.2 states/eV per cell. The value obtained for the formation energy is -157 kJ/mol of formula units. The crystal system is tetragonal. The space-group type is P4/mmm, No. 123.

Geometry as Quantum ESPRESSO input:
```
&SYSTEM
  ibrav = 0, nat = 8, ntyp = 3
/
ATOMIC_SPECIES
Ba 137.33 Ba.upf
Mg 24.30 Mg.upf
Au 196.97 Au.upf
CELL_PARAMETERS angstrom
4.195 0.000 0.000
0.000 4.195 0.000
0.000 0.000 17.766
ATOMIC_POSITIONS angstrom
Ba 0.000 0.000 1.919
Ba 0.000 0.000 6.591
Ba 0.000 0.000 11.175
Ba 0.000 0.000 15.846
Mg 2.097 2.097 4.311
Mg 2.097 2.097 8.883
Mg 2.097 2.097 13.454
Au 2.097 2.097 0.000
```

(6)
# YCu

YCu after structural relaxation (PBE, Alexandria via LeMat-Bulk). Values from VASP.

Computed properties:
As for the density of states at the Fermi level: 7.1 states/eV per cell. The value obtained for the formation energy is -11 kJ/mol of formula units. The crystal system is tetragonal. The space-group type is P4_2/mnm, No. 136.

Geometry as Quantum ESPRESSO input:
```
&SYSTEM
  ibrav = 0, nat = 8, ntyp = 2
/
ATOMIC_SPECIES
Y 88.91 Y.upf
Cu 63.55 Cu.upf
CELL_PARAMETERS angstrom
5.707 0.000 0.000
0.000 5.707 0.000
0.000 0.000 5.668
ATOMIC_POSITIONS angstrom
Y 1.181 1.181 0.000
Y 1.673 4.034 2.834
Y 4.034 1.673 2.834
Y 4.527 4.527 0.000
Cu 1.059 1.059 2.834
Cu 1.794 3.913 0.000
Cu 3.913 1.794 0.000
Cu 4.648 4.648 2.834
```

(7)
# YZnP2O

YZnP2O after structural relaxation (PBE, Alexandria via LeMat-Bulk). Values from VASP.

Computed properties:
As for the density of states at the Fermi level: 4.3 states/eV per cell. The raw formation energy is 0.042 eV/atom. The offset from the most stable computed form comes out at 437 meV per atom. The crystal system is tetragonal. The space-group type is P4/mmm, No. 123.

Geometry as Quantum ESPRESSO input:
```
&SYSTEM
  ibrav = 0, nat = 5, ntyp = 4
/
ATOMIC_SPECIES
Y 88.91 Y.upf
Zn 65.41 Zn.upf
P 30.97 P.upf
O 16.00 O.upf
CELL_PARAMETERS angstrom
5.450 0.000 0.000
0.000 5.450 0.000
0.000 0.000 4.193
ATOMIC_POSITIONS angstrom
Y 0.000 0.000 0.000
Zn 2.725 2.725 2.097
P 0.000 2.725 0.000
P 2.725 0.000 0.000
O 0.000 0.000 2.097
```

(8)
# PaAlSiGe

PaAlSiGe after structural relaxation (PBE, Alexandria via LeMat-Bulk). Values from VASP.

Computed properties:
As for the density of states at the Fermi level: 3.1 states/eV per cell. The raw formation energy is -0.418 eV/atom. The crystal system is orthorhombic. The space-group type is Pmmm, No. 47.

Geometry as Quantum ESPRESSO input:
```
&SYSTEM
  ibrav = 0, nat = 4, ntyp = 4
/
ATOMIC_SPECIES
Pa 231.04 Pa.upf
Al 26.98 Al.upf
Si 28.09 Si.upf
Ge 72.64 Ge.upf
CELL_PARAMETERS angstrom
4.027 0.000 0.000
0.000 4.300 0.000
0.000 0.000 4.354
ATOMIC_POSITIONS angstrom
Pa 0.000 0.000 0.000
Al 0.000 2.150 2.177
Si 2.013 2.150 0.000
Ge 2.013 0.000 2.177
```

(9)
# Nd3Dy2Y8

Nd3Dy2Y8 after structural relaxation (PBE, Alexandria via LeMat-Bulk). Values from VASP.

Computed properties:
As for the density of states at the Fermi level: 23.9 states/eV per cell. The offset from the most stable computed form comes out at 109 meV per atom. The value obtained for the formation energy is 310 kJ/mol of formula units. The crystal system is monoclinic. The space-group type is C2/m, No. 12.

Geometry as Quantum ESPRESSO input:
```
&SYSTEM
  ibrav = 0, nat = 13, ntyp = 3
/
ATOMIC_SPECIES
Nd 144.24 Nd.upf
Dy 162.50 Dy.upf
Y 88.91 Y.upf
CELL_PARAMETERS angstrom
10.082 -3.872 0.000
10.082 3.872 0.000
-0.003 0.000 5.700
ATOMIC_POSITIONS angstrom
Nd 0.000 0.000 0.000
Nd 10.081 1.614 2.850
Nd 10.081 -1.614 2.850
Dy 4.863 0.000 5.695
Dy 15.299 0.000 0.004
Y 2.725 0.000 2.848
Y 7.890 1.619 5.699
Y 6.588 0.000 2.847
Y 12.272 1.619 0.001
Y 7.890 -1.619 5.699
Y 13.574 0.000 2.853
Y 12.272 -1.619 0.001
Y 17.437 0.000 2.852
```